DFT (PBEsol) results for an optimized crystal structure of Cr4FeNiS8.

Lattice parameters (Å, degrees): 6.7731 6.7731 6.7731 60.00 60.00 60.00
Closest atoms and distances in Å follow each position.
Sites, in units of the cell vectors:
Cr 0.1309 0.1309 0.1309  6 S 2.31-2.39
Cr 0.1309 0.1309 0.6073  6 S 2.31-2.39
Cr 0.1309 0.6073 0.1309  6 S 2.31-2.39
Cr 0.6073 0.1309 0.1309  6 S 2.31-2.39
Fe 0.7500 0.7500 0.7500  4 S 2.19
Ni 0.5000 0.5000 0.5000  4 S 2.12
S 0.8818 0.8818 0.8818  1 Fe 2.19, 3 Cr 2.39
S 0.8818 0.8818 0.3545  1 Fe 2.19, 3 Cr 2.39
S 0.8818 0.3545 0.8818  1 Fe 2.19, 3 Cr 2.39
S 0.3545 0.8818 0.8818  1 Fe 2.19, 3 Cr 2.39
S 0.3721 0.3721 0.3721  1 Ni 2.12, 3 Cr 2.31
S 0.3721 0.3721 0.8838  1 Ni 2.12, 3 Cr 2.31
S 0.3721 0.8838 0.3721  1 Ni 2.12, 3 Cr 2.31
S 0.8838 0.3721 0.3721  1 Ni 2.12, 3 Cr 2.31

Values from the calculation:
- final energy (eV per atom) = -7.118
- formation energy without anion corrections (eV/atom) = -0.606
- SG = No. 216